No. 1
{"formula": "ThPF", "functional": "PBE-GGA", "state": "relaxed", "e_form_raw_ev_per_atom": -1.959, "dos_at_fermi_per_ev_cell": 1.0, "relative_energy_kj_per_mol_atoms": 43.6, "lattice": [[-2.261, -2.085, -2.570], [-2.346, -1.185, 3.026], [-0.038, 4.858, -0.782]], "species": ["F", "P", "Th"], "frac_coords": [[0.356, 0.356, 0.713], [0.016, 0.016, 0.032], [0.628, 0.628, 0.255]]}

***

No. 2
{"formula": "TcHg2Te", "functional": "PBE-GGA", "state": "relaxed", "e_form_raw_ev_per_atom": 0.687, "dos_at_fermi_per_ev_cell": 2.9, "lattice": [[-3.735, -2.874, -3.030], [5.122, 0.877, -2.095], [1.018, -2.738, 1.342]], "species": ["Te", "Hg", "Hg", "Tc"], "frac_coords": [[0.000, 0.500, 0.500], [0.500, 0.500, 0.000], [0.000, 0.000, 0.000], [0.500, 0.000, 0.500]]}